Record 1
This record from Alexandria via LeMat-Bulk describes crystalline Nb6Ga3Pt at its relaxed geometry. The functional is PBE.

Cell and atoms, written as POSCAR:
```
Nb6Ga3Pt
1.0
-6.587 -3.352 2.440
-0.661 -2.891 -5.756
3.009 -5.917 2.627
Nb Pt Ga
12 2 6
Direct
0.705 0.184 0.572
0.197 0.640 0.771
0.303 0.140 0.729
0.648 0.120 0.952
0.795 0.684 0.928
0.852 0.620 0.548
0.803 0.360 0.229
0.205 0.316 0.072
0.295 0.816 0.428
0.148 0.380 0.452
0.352 0.880 0.048
0.697 0.860 0.271
0.000 0.000 0.000
0.500 0.500 0.500
0.546 0.818 0.697
0.454 0.182 0.303
0.046 0.682 0.197
0.954 0.318 0.803
0.500 0.500 0.000
0.000 0.000 0.500
```

crystal system	monoclinic
magnetic moment	0.0	μB/cell
space-group type	P2_1/c, No. 14
E_form	-112	kJ/mol of formula units

Record 2
This record from Alexandria via LeMat-Bulk describes crystalline Tl2ReW at its relaxed geometry. The functional is PBE.

Cell and atoms, written as POSCAR:
```
Tl2ReW
1.0
-0.912 -3.515 -3.514
-0.299 -4.965 -0.893
-5.117 -0.782 0.764
Tl W Re
2 1 1
Direct
0.002 0.002 0.998
0.498 0.498 0.502
0.250 0.250 0.250
0.750 0.750 0.750
```

crystal system	monoclinic
magnetic moment	0.0	μB/cell
space-group type	C2/m, No. 12
E_form	449	kJ/mol of formula units

Record 3
This record from Alexandria via LeMat-Bulk describes crystalline Li6AgGe at its relaxed geometry. The functional is PBE.

Cell and atoms, written as POSCAR:
```
Li6AgGe
1.0
-1.323 0.646 -4.678
-4.077 -0.620 2.654
2.396 5.779 1.898
Li Ge Ag
6 1 1
Direct
0.112 0.612 0.224
0.238 0.238 0.476
0.612 0.112 0.224
0.888 0.388 0.776
0.388 0.888 0.776
0.762 0.762 0.524
0.000 0.000 0.000
0.500 0.500 0.000
```

crystal system	orthorhombic
magnetic moment	0.0	μB/cell
space-group type	Fmmm, No. 69
E_form	-140	kJ/mol of formula units

Record 4
This record from Alexandria via LeMat-Bulk describes crystalline SrLa3Mg4 at its relaxed geometry. The functional is PBE.

Cell and atoms, written as POSCAR:
```
SrLa3Mg4
1.0
-1.999 2.940 1.862
0.691 -2.673 4.962
9.745 5.580 1.648
La Mg Sr
3 4 1
Direct
0.500 0.500 0.500
0.500 0.000 0.255
0.500 0.000 0.745
0.000 0.500 0.742
0.000 0.000 0.000
0.000 0.500 0.258
0.000 0.000 0.500
0.500 0.500 0.000
```

crystal system	orthorhombic
magnetic moment	0.0	μB/cell
space-group type	Pmmm, No. 47
E_form	-69	kJ/mol of formula units

Record 5
This record from Alexandria via LeMat-Bulk describes crystalline Pm4SnRh2 at its relaxed geometry. The functional is PBE.

Cell and atoms, written as POSCAR:
```
Pm4SnRh2
1.0
-5.834 -1.214 3.938
5.201 -3.212 3.538
1.640 8.647 0.182
Sn Rh Pm
2 4 8
Direct
0.966 0.068 0.017
0.199 0.797 0.484
0.639 0.188 0.084
0.140 0.515 0.926
0.466 0.343 0.576
0.807 0.856 0.415
0.426 0.505 0.281
0.391 0.973 0.219
0.882 0.656 0.679
0.455 0.728 0.825
0.859 0.576 0.096
0.292 0.193 0.822
0.012 0.234 0.404
0.717 0.119 0.674
```

crystal system	triclinic
magnetic moment	0.0	μB/cell
space-group type	P1, No. 1
E_form	-429	kJ/mol of formula units

Record 6
This record from Alexandria via LeMat-Bulk describes crystalline K2HgBr at its relaxed geometry. The functional is PBE.

Cell and atoms, written as POSCAR:
```
K2HgBr
1.0
-5.702 -7.018 0.568
5.603 -4.080 5.836
-2.133 -3.583 6.577
K Hg Br
4 2 2
Direct
0.161 0.625 0.250
0.589 0.125 0.250
0.375 0.411 0.750
0.875 0.839 0.750
0.000 0.000 0.000
0.750 0.250 0.500
0.500 0.500 0.000
0.250 0.750 0.500
```

crystal system	tetragonal
magnetic moment	0.0	μB/cell
energy relative to the elements, uncorrected	-0.797	eV/atom
space-group type	I-42d, No. 122

Record 7
This record from Alexandria via LeMat-Bulk describes crystalline CeGdSbTe at its relaxed geometry. The functional is PBE.

Cell and atoms, written as POSCAR:
```
CeGdSbTe
1.0
-0.839 2.643 -4.653
-2.573 -2.457 -4.084
-5.006 1.549 -1.370
Sb Te Ce Gd
1 1 1 1
Direct
0.500 0.500 0.500
0.000 0.000 0.000
0.750 0.750 0.750
0.250 0.250 0.250
```

crystal system	cubic
magnetic moment	7.3	μB/cell
energy relative to the elements, uncorrected	-1.045	eV/atom
space-group type	F-43m, No. 216

Record 8
This record from Alexandria via LeMat-Bulk describes crystalline Al2NiNCl at its relaxed geometry. The functional is PBE.

Cell and atoms, written as POSCAR:
```
Al2NiNCl
1.0
4.826 0.000 0.000
0.000 3.535 0.000
0.000 0.000 4.826
N Al Cl Ni
1 2 1 1
Direct
0.000 0.500 0.000
0.000 0.000 0.500
0.500 0.000 0.000
0.500 0.500 0.500
0.000 0.000 0.000
```

crystal system	tetragonal
magnetic moment	1.5	μB/cell
energy relative to the elements, uncorrected	0.171	eV/atom
space-group type	P4/mmm, No. 123

Record 9
This record from Alexandria via LeMat-Bulk describes crystalline DyZnAu2 at its relaxed geometry. The functional is PBE.

Cell and atoms, written as POSCAR:
```
DyZnAu2
1.0
-1.715 -1.341 3.193
1.796 -4.148 -0.778
3.697 1.139 2.464
Au Zn Dy
2 1 1
Direct
0.000 0.500 0.000
0.000 0.000 0.500
0.500 0.000 0.000
0.500 0.500 0.500
```

crystal system	tetragonal
magnetic moment	0.0	μB/cell
space-group type	P4/mmm, No. 123
E_form	-198	kJ/mol of formula units

Record 10
This record from Alexandria via LeMat-Bulk describes crystalline V2Cr3Ru at its relaxed geometry. The functional is PBE.

Cell and atoms, written as POSCAR:
```
V2Cr3Ru
1.0
4.110 0.000 0.000
-2.055 5.444 -3.038
0.000 -0.668 7.111
Ru Cr V
2 6 4
Direct
0.870 0.741 0.874
0.130 0.259 0.126
0.043 0.086 0.384
0.379 0.758 0.381
0.621 0.242 0.619
0.287 0.574 0.612
0.713 0.426 0.388
0.957 0.914 0.616
0.795 0.589 0.132
0.538 0.076 0.867
0.205 0.411 0.868
0.462 0.924 0.133
```

crystal system	monoclinic
magnetic moment	0.0	μB/cell
space-group type	C2/m, No. 12
E_form	-49	kJ/mol of formula units

Record 11
This record from Alexandria via LeMat-Bulk describes crystalline Li2AuCl4 at its relaxed geometry. The functional is PBE.

Cell and atoms, written as POSCAR:
```
Li2AuCl4
1.0
5.200 0.000 0.000
0.000 5.200 0.000
2.600 2.600 6.414
Cl Li Au
4 2 1
Direct
0.193 0.193 0.614
0.500 0.000 0.000
0.000 0.500 0.000
0.807 0.807 0.386
0.370 0.370 0.259
0.630 0.630 0.741
0.000 0.000 0.000
```

crystal system	tetragonal
magnetic moment	0.0	μB/cell
energy relative to the elements, uncorrected	-0.884	eV/atom
space-group type	I4/mmm, No. 139

Record 12
This record from Alexandria via LeMat-Bulk describes crystalline HgBSb3 at its relaxed geometry. The functional is PBE.

Cell and atoms, written as POSCAR:
```
HgBSb3
1.0
-3.387 -4.103 -1.621
-0.323 -1.808 5.250
-4.400 3.291 0.862
Sb Hg B
3 1 1
Direct
0.000 0.000 0.500
0.000 0.500 0.000
0.500 0.000 0.000
0.000 0.000 0.000
0.500 0.500 0.500
```

crystal system	cubic
magnetic moment	0.0	μB/cell
energy relative to the elements, uncorrected	1.713	eV/atom
space-group type	Pm-3m, No. 221